(1)
Na3TiSe4 | PBE-GGA | relaxed

Structure (POSCAR):
```
Na3TiSe4
1.0
4.3520 -5.7564 0.0000
4.3520 5.7564 0.0000
0.0000 0.0000 3.7856
Na Ti Se
3 1 4
Direct
0.0000 0.0000 0.0000
0.0000 0.5000 0.5000
0.5000 0.0000 0.5000
0.5000 0.5000 0.0000
0.2770 0.7230 0.0000
0.2931 0.2931 0.5000
0.7069 0.7069 0.5000
0.7230 0.2770 0.0000
```

## Properties
crystal system = orthorhombic
energy = -33.476 eV per cell
formation energy without anion corrections = -0.961 eV per atom


(2)
Na3Tm3TiSe8 | PBE-GGA | relaxed

Structure (POSCAR):
```
Na3Tm3TiSe8
1.0
3.9998 2.3093 7.1045
-3.9998 2.3093 7.1045
0.0000 -4.6186 7.1045
Na Tm Ti Se
3 3 1 8
Direct
0.0000 0.5000 0.5000
0.5000 0.0000 0.5000
0.5000 0.5000 0.0000
0.0000 0.0000 0.5000
0.0000 0.5000 0.0000
0.5000 0.0000 0.0000
0.5000 0.5000 0.5000
0.2428 0.2428 0.2428
0.2599 0.7269 0.7269
0.2731 0.2731 0.7401
0.2731 0.7401 0.2731
0.7269 0.2599 0.7269
0.7269 0.7269 0.2599
0.7401 0.2731 0.2731
0.7572 0.7572 0.7572
```

## Properties
crystal system = trigonal
energy = -76.380 eV per cell
formation energy without anion corrections = -1.549 eV per atom


(3)
Na3Tm2TiSe6 | PBE-GGA | relaxed

Structure (POSCAR):
```
Na3Tm2TiSe6
1.0
3.4624 -5.9999 0.0000
3.4624 5.9999 0.0000
-2.3135 0.0000 6.9955
Na Tm Ti Se
3 2 1 6
Direct
0.0000 0.0000 0.0000
0.3301 0.6699 0.0000
0.6699 0.3301 0.0000
0.1667 0.8333 0.5000
0.8333 0.1667 0.5000
0.5000 0.5000 0.5000
0.1084 0.4257 0.2779
0.2578 0.2578 0.7207
0.4257 0.1084 0.2779
0.5743 0.8916 0.7221
0.7422 0.7422 0.2793
0.8916 0.5743 0.7221
```

## Properties
crystal system = monoclinic
energy = -59.611 eV per cell
formation energy without anion corrections = -1.492 eV per atom


(4)
Na2UTi2Se6 | PBE-GGA | relaxed

Structure (POSCAR):
```
Na2UTi2Se6
1.0
3.2924 -5.7702 0.0000
3.2924 5.7702 0.0000
-2.1652 0.0000 7.1791
Na U Ti Se
2 1 2 6
Direct
0.1610 0.8390 0.0000
0.8390 0.1610 0.0000
0.0000 0.0000 0.5000
0.3318 0.6682 0.5000
0.6682 0.3318 0.5000
0.0703 0.4218 0.7161
0.2845 0.2845 0.2851
0.4218 0.0703 0.7161
0.5782 0.9297 0.2839
0.7155 0.7155 0.7149
0.9297 0.5782 0.2839
```

## Properties
crystal system = monoclinic
energy = -63.685 eV per cell
formation energy without anion corrections = -1.187 eV per atom


(5)
Na3UTi2Se6 | PBE-GGA | relaxed

Structure (POSCAR):
```
Na3UTi2Se6
1.0
3.3722 -5.8619 0.0000
3.3722 5.8619 0.0000
-2.2687 0.0000 7.0398
Na U Ti Se
3 1 2 6
Direct
0.0000 0.0000 0.0000
0.3394 0.6606 0.0000
0.6606 0.3394 0.0000
0.5000 0.5000 0.5000
0.1718 0.8282 0.5000
0.8282 0.1718 0.5000
0.0736 0.4248 0.2791
0.2188 0.2188 0.7153
0.4248 0.0736 0.2791
0.5752 0.9264 0.7209
0.7812 0.7812 0.2847
0.9264 0.5752 0.7209
```

## Properties
crystal system = monoclinic
energy = -66.105 eV per cell
formation energy without anion corrections = -1.180 eV per atom


(6)
Na4UTi3Se8 | PBE-GGA | relaxed

Structure (POSCAR):
```
Na4UTi3Se8
1.0
3.8619 2.2297 7.0570
-3.8619 2.2297 7.0570
0.0000 -4.4594 7.0570
Na U Ti Se
4 1 3 8
Direct
0.0000 0.0000 0.0000
0.0000 0.5000 0.5000
0.5000 0.0000 0.5000
0.5000 0.5000 0.0000
0.5000 0.5000 0.5000
0.0000 0.0000 0.5000
0.0000 0.5000 0.0000
0.5000 0.0000 0.0000
0.2246 0.7480 0.7480
0.2363 0.2363 0.2363
0.2520 0.2520 0.7754
0.2520 0.7754 0.2520
0.7480 0.2246 0.7480
0.7480 0.7480 0.2246
0.7637 0.7637 0.7637
0.7754 0.2520 0.2520
```

## Properties
crystal system = trigonal
energy = -86.942 eV per cell
formation energy without anion corrections = -1.176 eV per atom


no.,calculated density (g cm⁻³),total moment (μB/cell)
1,3.79,0.00
2,5.29,0.00
3,5.30,1.00
4,5.20,4.01
5,5.23,5.01
6,5.03,6.02